--- i ---
# Ce4Tl3In

A geometry-optimized Ce4Tl3In structure (PBE, Alexandria via LeMat-Bulk).

Cell: 4.9013 4.9011 10.0006 Å, 104.18 104.18 90.00°
Last column: magnetic moment on the atom in μB.
Fractional positions:
1 Tl 0.0000 0.5000 0.0000  -0.01
2 Tl 0.7501 0.2500 0.5002  0.00
3 Tl 0.2499 0.7500 0.4998  0.00
4 Ce 0.3757 0.3757 0.7513  0.94
5 Ce 0.6243 0.6243 0.2487  0.94
6 Ce 0.1243 0.1244 0.2487  0.94
7 Ce 0.8757 0.8756 0.7513  0.94
8 In 0.5000 0.0000 0.0000  -0.01

---

--- ii ---
# Ce4Tl3In

A geometry-optimized Ce4Tl3In structure (PBE, Alexandria via LeMat-Bulk).

Cell: 4.5616 7.2354 8.0547 Å, 110.71 106.45 90.00°
Last column: magnetic moment on the atom in μB.
Fractional positions:
1 Ce 0.3114 0.5631 0.6227  0.57
2 Ce 0.6886 0.4369 0.3773  0.57
3 Ce 0.6439 0.7661 0.2878  0.71
4 Ce 0.3561 0.2339 0.7122  0.71
5 Tl 0.0000 0.5000 0.0000  0.01
6 Tl 0.1370 0.0775 0.2741  0.00
7 Tl 0.8630 0.9225 0.7259  0.00
8 In 0.5000 0.0000 0.0000  0.00

---

Which of them is the most stable, and which is the least stable? i and ii, in that order.

---

--- i ---
# Ce6TmIn2

A geometry-optimized Ce6TmIn2 structure (PBE, Alexandria via LeMat-Bulk).

Cell: 3.5254 9.2347 9.2347 Å, 125.79 86.73 86.73°
Last column: magnetic moment on the atom in μB.
Fractional positions:
1 Ce 0.8984 0.5154 0.1778  0.44
2 Ce 0.1016 0.4846 0.8222  0.44
3 Ce 0.6476 0.6485 0.6485  0.07
4 Ce 0.8984 0.1778 0.5154  0.44
5 Ce 0.1016 0.8222 0.4846  0.44
6 Ce 0.3524 0.3515 0.3515  0.07
7 Tm 0.0000 0.0000 0.0000  0.02
8 In 0.5000 0.8379 0.1621  -0.01
9 In 0.5000 0.1621 0.8379  -0.01

---

--- ii ---
# Ce6TmIn2

A geometry-optimized Ce6TmIn2 structure (PBE, Alexandria via LeMat-Bulk).

Cell: 4.2047 7.8066 8.2587 Å, 111.00 104.75 90.00°
Last column: magnetic moment on the atom in μB.
Fractional positions:
1 Ce 0.3855 0.8036 0.7709  0.09
2 Ce 0.6145 0.1964 0.2291  0.09
3 Ce 0.7285 0.8733 0.4570  0.17
4 Ce 0.1630 0.4504 0.3261  0.10
5 Ce 0.2715 0.1267 0.5430  0.17
6 Ce 0.8370 0.5496 0.6739  0.10
7 Tm 0.5000 0.5000 0.0000  0.01
8 In 0.9409 0.1699 0.8818  0.00
9 In 0.0591 0.8301 0.1182  0.00

---

Which of them is the most stable, and which is the least stable? ii and i, in that order.

---

--- i ---
# CeTmIn4

A geometry-optimized CeTmIn4 structure (PBE, Alexandria via LeMat-Bulk).

Cell: 6.0373 6.0373 6.0373 Å, 60.00 60.00 60.00°
Last column: magnetic moment on the atom in μB.
Fractional positions:
1 Tm 0.2500 0.2500 0.2500  0.10
2 Ce 0.0000 0.0000 0.0000  0.90
3 In 0.6250 0.6250 0.1249  0.00
4 In 0.6250 0.1249 0.6250  0.00
5 In 0.6250 0.6250 0.6250  0.00
6 In 0.1249 0.6250 0.6250  0.00

---

--- ii ---
# CeTmIn4

A geometry-optimized CeTmIn4 structure (PBE, Alexandria via LeMat-Bulk).

Cell: 4.9241 4.9268 7.8328 Å, 89.93 89.96 89.96°
Last column: magnetic moment on the atom in μB.
Fractional positions:
1 Ce 0.5015 0.4963 0.9981  0.81
2 Tm 0.0011 0.9981 0.4981  -0.01
3 In 0.5013 0.9960 0.2664  0.01
4 In 0.5009 0.9969 0.7299  0.01
5 In 0.0018 0.4977 0.7297  0.01
6 In 0.0012 0.4986 0.2666  0.01

---

Which of them is the most stable, and which is the least stable? i and ii, in that order.

---

--- i ---
# CeYIn3

A geometry-optimized CeYIn3 structure (PBE, Alexandria via LeMat-Bulk).

Cell: 5.9689 5.9689 11.7714 Å, 104.69 104.69 90.00°
Last column: magnetic moment on the atom in μB.
Fractional positions:
1 Ce 0.6873 0.1873 0.3746  0.73
2 Ce 0.8127 0.3127 0.6254  0.73
3 Y 0.0000 0.0000 0.0000  -0.02
4 Y 0.2500 0.7500 0.5000  -0.01
5 In 0.6251 0.8776 0.7552  0.00
6 In 0.1224 0.8699 0.2448  0.00
7 In 0.1224 0.3749 0.2448  0.00
8 In 0.1301 0.8776 0.7552  0.00
9 In 0.2499 0.2499 0.4997  -0.01
10 In 0.7501 0.7501 0.5003  -0.01

---

--- ii ---
# CeYIn3

A geometry-optimized CeYIn3 structure (PBE, Alexandria via LeMat-Bulk).

Cell: 9.4287 9.4287 9.4287 Å, 37.85 37.85 37.85°
Fractional positions:
1 Ce 0.8074 0.8074 0.8074
2 Ce 0.1926 0.1926 0.1926
3 Y 0.6904 0.6904 0.6904
4 Y 0.3096 0.3096 0.3096
5 In 0.7508 0.7508 0.2508
6 In 0.7508 0.2508 0.7508
7 In 0.7492 0.2492 0.2492
8 In 0.2492 0.7492 0.2492
9 In 0.2492 0.2492 0.7492
10 In 0.2508 0.7508 0.7508

---

Which of them is the most stable, and which is the least stable? ii and i, in that order.

---

--- i ---
# CeY2In

A geometry-optimized CeY2In structure (PBE, Alexandria via LeMat-Bulk).

Cell: 5.4218 5.4218 5.4218 Å, 60.00 60.00 60.00°
Last column: magnetic moment on the atom in μB.
Fractional positions:
1 Y 0.2500 0.2500 0.2500  0.04
2 Y 0.7500 0.7500 0.7500  0.04
3 Ce 0.0000 0.0000 0.0000  0.33
4 In 0.5000 0.5000 0.5000  -0.01

---

--- ii ---
# CeY2In

A geometry-optimized CeY2In structure (PBE, Alexandria via LeMat-Bulk).

Cell: 3.5627 3.5627 9.0851 Å, 90.00 90.00 90.00°
Last column: magnetic moment on the atom in μB.
Fractional positions:
1 Y 0.0000 0.0000 0.7690  -0.01
2 Y 0.0000 0.0000 0.2310  -0.01
3 Ce 0.5000 0.5000 0.5000  0.49
4 In 0.5000 0.5000 0.0000  -0.01

---

Which of them is the most stable, and which is the least stable? ii and i, in that order.

---

--- i ---
# CeY2In

A geometry-optimized CeY2In structure (PBE, Alexandria via LeMat-Bulk).

Cell: 4.7170 4.9322 4.9322 Å, 90.00 90.00 90.00°
Last column: magnetic moment on the atom in μB.
Fractional positions:
1 Y 0.0000 0.0000 0.5000  0.10
2 Y 0.0000 0.5000 0.0000  0.10
3 Ce 0.5000 0.5000 0.5000  0.71
4 In 0.5000 0.0000 0.0000  -0.02

---

--- ii ---
# CeY2In

A geometry-optimized CeY2In structure (PBE, Alexandria via LeMat-Bulk).

Cell: 4.7271 4.8575 11.3473 Å, 90.00 102.16 90.00°
Last column: magnetic moment on the atom in μB.
Fractional positions:
1 Ce 0.6959 0.7500 0.3884  0.92
2 Ce 0.3041 0.2500 0.6116  0.92
3 Y 0.5588 0.2500 0.1164  0.00
4 Y 0.4412 0.7500 0.8836  0.00
5 Y 0.0660 0.7500 0.1305  0.02
6 Y 0.9340 0.2500 0.8695  0.02
7 In 0.1629 0.2500 0.3221  -0.02
8 In 0.8371 0.7500 0.6779  -0.02

---

Which of them is the most stable, and which is the least stable? i and ii, in that order.

---

--- i ---
# Ce2YIn4

A geometry-optimized Ce2YIn4 structure (PBE, Alexandria via LeMat-Bulk).

Cell: 5.1473 5.1473 8.6263 Å, 107.38 107.36 90.00°
Last column: magnetic moment on the atom in μB.
Fractional positions:
1 Ce 0.7497 0.7496 0.4995  0.96
2 Ce 0.2503 0.2504 0.5005  0.96
3 Y 0.0000 0.0000 0.0000  0.03
4 In 0.3897 0.8902 0.7794  0.01
5 In 0.8897 0.3895 0.7794  0.01
6 In 0.6103 0.1098 0.2206  0.01
7 In 0.1103 0.6105 0.2206  0.01

---

--- ii ---
# Ce2YIn4

A geometry-optimized Ce2YIn4 structure (PBE, Alexandria via LeMat-Bulk).

Cell: 6.2467 6.2135 6.5817 Å, 118.17 90.00 90.00°
Last column: magnetic moment on the atom in μB.
Fractional positions:
1 Ce 0.5000 0.1189 0.2379  0.91
2 Ce 0.5000 0.8811 0.7621  0.91
3 Y 0.0000 0.5000 0.0000  0.00
4 In 0.5000 0.6180 0.2360  0.02
5 In 0.0000 0.8657 0.7315  0.02
6 In 0.5000 0.3820 0.7640  0.02
7 In 0.0000 0.1343 0.2685  0.02

---

Which of them is the most stable, and which is the least stable? i and ii, in that order.

---

--- i ---
# Ce2ZnIn2

A geometry-optimized Ce2ZnIn2 structure (PBE, Alexandria via LeMat-Bulk).

Cell: 4.7911 6.0859 10.2463 Å, 81.47 76.48 66.82°
Last column: magnetic moment on the atom in μB.
Fractional positions:
1 Ce 0.0241 0.2917 0.6601  0.77
2 Ce 0.8251 0.2573 0.0925  0.92
3 Ce 0.9759 0.7083 0.3399  0.77
4 Ce 0.1749 0.7427 0.9075  0.92
5 Zn 0.2753 0.1042 0.3451  -0.01
6 Zn 0.7247 0.8958 0.6549  -0.01
7 In 0.6459 0.2797 0.4285  -0.01
8 In 0.5204 0.8336 0.1257  -0.03
9 In 0.3541 0.7203 0.5715  -0.01
10 In 0.4796 0.1664 0.8743  -0.03

---

--- ii ---
# Ce2ZnIn2

A geometry-optimized Ce2ZnIn2 structure (PBE, Alexandria via LeMat-Bulk).

Cell: 4.5993 6.7172 8.5272 Å, 90.00 105.65 90.00°
Last column: magnetic moment on the atom in μB.
Fractional positions:
1 Ce 0.0303 0.7920 0.0605  0.83
2 Ce 0.8041 0.3397 0.6081  0.81
3 Ce 0.1959 0.8397 0.3919  0.81
4 Ce 0.9697 0.2920 0.9395  0.83
5 Zn 0.3961 0.0510 0.7922  0.00
6 Zn 0.6039 0.5510 0.2078  0.00
7 In 0.4033 0.5967 0.8065  -0.01
8 In 0.8316 0.8551 0.6633  0.01
9 In 0.1684 0.3551 0.3367  0.01
10 In 0.5967 0.0967 0.1935  -0.01

---

Which of them is the most stable, and which is the least stable? i and ii, in that order.

---

--- i ---
# CeZrIn

A geometry-optimized CeZrIn structure (PBE, Alexandria via LeMat-Bulk).

Cell: 4.2717 3.2976 10.5824 Å, 81.04 90.00 90.00°
Last column: magnetic moment on the atom in μB.
Fractional positions:
1 In 0.2500 0.1367 0.7266  0.00
2 In 0.7500 0.8633 0.2734  0.00
3 Ce 0.2500 0.4576 0.0849  0.56
4 Ce 0.7500 0.5424 0.9151  0.56
5 Zr 0.7500 0.7080 0.5841  0.01
6 Zr 0.2500 0.2920 0.4159  0.01

---

--- ii ---
# CeZrIn

A geometry-optimized CeZrIn structure (PBE, Alexandria via LeMat-Bulk).

Cell: 5.0979 5.1013 7.9143 Å, 71.20 71.16 59.98°
Last column: magnetic moment on the atom in μB.
Fractional positions:
1 Ce 0.3044 0.9229 0.1721  0.56
2 Ce 0.0409 0.6649 0.9511  0.94
3 Zr 0.8841 0.5043 0.4297  -0.01
4 Zr 0.1805 0.8012 0.5393  0.09
5 In 0.4535 0.0762 0.7162  -0.01
6 In 0.5903 0.2097 0.3127  -0.01

---

Which of them is the most stable, and which is the least stable? i and ii, in that order.

---

--- i ---
# Ce5Ir4

A geometry-optimized Ce5Ir4 structure (PBE, Alexandria via LeMat-Bulk).

Cell: 3.6407 7.7354 7.7354 Å, 86.83 76.38 76.38°
Last column: magnetic moment on the atom in μB.
Fractional positions:
1 Ce 0.0000 0.9455 0.0545  0.07
2 Ce 0.0000 0.3878 0.6122  0.07
3 Ce 0.0000 0.6667 0.3333  0.05
4 Ce 0.2790 0.3877 0.0544  0.07
5 Ce 0.7210 0.9456 0.6123  0.07
6 Ir 0.3201 0.6667 0.6932  -0.01
7 Ir 0.3201 0.0265 0.3334  -0.01
8 Ir 0.6799 0.6666 0.9735  -0.01
9 Ir 0.6799 0.3068 0.3333  -0.01

---

--- ii ---
# Ce5Ir4

A geometry-optimized Ce5Ir4 structure (PBE, Alexandria via LeMat-Bulk).

Cell: 7.3158 7.5454 14.9284 Å, 90.00 90.00 90.00°
Last column: magnetic moment on the atom in μB.
Fractional positions:
1 Ir 0.6799 0.1414 0.7500  -0.03
2 Ir 0.3080 0.9621 0.9633  -0.03
3 Ir 0.6920 0.0379 0.0367  -0.03
4 Ir 0.8080 0.5379 0.5367  -0.03
5 Ir 0.3201 0.8586 0.2500  -0.03
6 Ir 0.1920 0.4621 0.0367  -0.03
7 Ir 0.4526 0.6204 0.7500  -0.02
8 Ir 0.0474 0.1204 0.2500  -0.02
9 Ir 0.9526 0.8796 0.7500  -0.02
10 Ir 0.3080 0.9621 0.5367  -0.03
11 Ir 0.5474 0.3796 0.2500  -0.02
12 Ir 0.8201 0.6414 0.2500  -0.03
13 Ir 0.6920 0.0379 0.4633  -0.03
14 Ir 0.1799 0.3586 0.7500  -0.03
15 Ir 0.8080 0.5379 0.9633  -0.03
16 Ir 0.1920 0.4621 0.4633  -0.03
17 Ce 0.5027 0.3223 0.9077  0.51
18 Ce 0.3129 0.0206 0.7500  0.31
19 Ce 0.3476 0.1651 0.3791  0.18
20 Ce 0.6524 0.8349 0.8791  0.18
21 Ce 0.0027 0.1777 0.9077  0.51
22 Ce 0.1524 0.6651 0.8791  0.18
23 Ce 0.9973 0.8223 0.4077  0.51
24 Ce 0.8129 0.4794 0.7500  0.31
25 Ce 0.8476 0.3349 0.3791  0.18
26 Ce 0.4973 0.6777 0.0923  0.51
27 Ce 0.4973 0.6777 0.4077  0.51
28 Ce 0.6524 0.8349 0.6209  0.18
29 Ce 0.8476 0.3349 0.1209  0.18
30 Ce 0.5027 0.3223 0.5923  0.51
31 Ce 0.0027 0.1777 0.5923  0.51
32 Ce 0.6871 0.9794 0.2500  0.31
33 Ce 0.9973 0.8223 0.0923  0.51
34 Ce 0.3476 0.1651 0.1209  0.18
35 Ce 0.1871 0.5206 0.2500  0.31
36 Ce 0.1524 0.6651 0.6209  0.18

---

Which of them is the most stable, and which is the least stable? ii and i, in that order.

---

--- i ---
# La2CeIr

A geometry-optimized La2CeIr structure (PBE, Alexandria via LeMat-Bulk).

Cell: 6.6283 7.2546 10.0653 Å, 90.00 90.00 90.00°
Last column: magnetic moment on the atom in μB.
Fractional positions:
1 La 0.1695 0.6744 0.0656  0.04
2 La 0.3305 0.1744 0.4344  0.04
3 La 0.8305 0.3256 0.5656  0.04
4 La 0.6695 0.8256 0.9344  0.04
5 La 0.8305 0.3256 0.9344  0.04
6 La 0.6695 0.8256 0.5656  0.04
7 La 0.1695 0.6744 0.4344  0.04
8 La 0.3305 0.1744 0.0656  0.04
9 Ce 0.6627 0.5402 0.2500  0.55
10 Ce 0.8373 0.0402 0.2500  0.55
11 Ce 0.3373 0.4598 0.7500  0.55
12 Ce 0.1627 0.9598 0.7500  0.55
13 Ir 0.0379 0.3683 0.2500  -0.02
14 Ir 0.4621 0.8683 0.2500  -0.02
15 Ir 0.9621 0.6317 0.7500  -0.02
16 Ir 0.5379 0.1317 0.7500  -0.02

---

--- ii ---
# La2CeIr

A geometry-optimized La2CeIr structure (PBE, Alexandria via LeMat-Bulk).

Cell: 4.0834 4.0834 9.8171 Å, 78.00 78.00 60.00°
Last column: magnetic moment on the atom in μB.
Fractional positions:
1 La 0.0565 0.0565 0.8304  0.07
2 La 0.2764 0.2764 0.1707  0.04
3 Ce 0.5011 0.5011 0.4968  1.27
4 Ir 0.6660 0.6660 0.0021  0.02

---

--- iii ---
# La2CeIr

A geometry-optimized La2CeIr structure (PBE, Alexandria via LeMat-Bulk).

Cell: 3.9518 3.9518 10.8973 Å, 79.55 79.55 60.00°
Last column: magnetic moment on the atom in μB.
Fractional positions:
1 Ir 0.5000 0.5000 0.5000  0.01
2 Ce 0.0000 0.0000 0.0000  1.33
3 La 0.1137 0.1137 0.6588  0.05
4 La 0.8863 0.8863 0.3412  0.05

---

--- iv ---
# La2CeIr

A geometry-optimized La2CeIr structure (PBE, Alexandria via LeMat-Bulk).

Cell: 3.8868 6.4765 10.0276 Å, 90.00 90.00 107.50°
Last column: magnetic moment on the atom in μB.
Fractional positions:
1 La 0.3609 0.7209 0.5632  0.04
2 La 0.6391 0.2791 0.4368  0.04
3 La 0.3609 0.7209 0.9368  0.04
4 La 0.6391 0.2791 0.0632  0.04
5 Ce 0.9078 0.8155 0.2500  0.53
6 Ce 0.0922 0.1845 0.7500  0.53
7 Ir 0.7504 0.5004 0.7500  -0.02
8 Ir 0.2496 0.4996 0.2500  -0.02

---

Which of them is the most stable, and which is the least stable? i and iii, in that order.